(1)
Below is a relaxed structure of Zr2ScSiH, with properties calculated at the PBE level.

The value obtained for the density is 4.363 g cm⁻³. The value obtained for the total energy is -6.050 eV per atom. The crystal system is tetragonal.

The space group is P4/mmm (No. 123) and the conventional cell measures 5.4093, 5.4093 and 3.3363 Å, with angles of 90.00, 90.00 and 90.00 degrees. The asymmetric unit holds Zr at (0.0000, 0.5000, 0.0000), Sc at (0.0000, 0.0000, 0.5000), Si at (0.5000, 0.5000, 0.0000) and H at (0.5000, 0.5000, 0.5000).

***

(2)
Below is a relaxed structure of PmHoGaIr, with properties calculated at the PBE level.

For the formation energy, the calculation gives -0.7036 eV per atom. The value obtained for the density is 10.159 g cm⁻³. The value obtained for the total energy is -6.008 eV per atom. The crystal system is orthorhombic.

The space group is Amm2 (No. 38) and the conventional cell measures 4.2499, 4.0724 and 10.8020 Å, with angles of 90.00, 90.00 and 90.00 degrees. The asymmetric unit holds Pm at (0.0000, 0.0000, 0.0000), Ho at (0.5000, 0.0000, 0.7174), Ga at (0.5000, 0.0000, 0.4214) and Ir at (0.0000, 0.0000, 0.2798).

***

(3)
Below is a relaxed structure of SrAg6Br8, with properties calculated at the PBE level.

The value obtained for the density is 4.228 g cm⁻³. As for the energy relative to the elements, uncorrected: -0.623 eV per atom. The value obtained for the total energy is -2.768 eV per atom. The crystal system is trigonal.

The space group is P-3 (No. 147) and the conventional cell measures 11.1336, 11.1336 and 5.0268 Å, with angles of 90.00, 90.00 and 120.00 degrees. The asymmetric unit holds Sr at (0.0000, 0.0000, 0.0000), Ag at (0.1879, 0.4011, 0.2770), Br at (0.0861, 0.7913, 0.7591) and Br at (0.3333, 0.6667, 0.1635).

***

(4)
Below is a relaxed structure of RbV3Te, with properties calculated at the PBE level.

The value obtained for the density is 3.893 g cm⁻³. As for the energy relative to the elements, uncorrected: 1.248 eV per atom. The value obtained for the total energy is -5.045 eV per atom. The crystal system is cubic.

The space group is Pm-3m (No. 221) and the conventional cell measures 5.3840, 5.3840 and 5.3840 Å, with angles of 90.00, 90.00 and 90.00 degrees. The asymmetric unit holds Rb at (0.0000, 0.0000, 0.0000), V at (0.0000, 0.5000, 0.5000) and Te at (0.5000, 0.5000, 0.5000).

***

(5)
Below is a relaxed structure of Pm7Pr4Ho, with properties calculated at the PBE level.

For the formation energy, the calculation gives 0.0144 eV per atom. The value obtained for the density is 6.931 g cm⁻³. The value obtained for the total energy is -4.731 eV per atom. The crystal system is triclinic.

The space group is P-1 (No. 2) and the conventional cell measures 6.3766, 7.3708 and 9.1407 Å, with angles of 89.95, 76.49 and 90.00 degrees. The asymmetric unit holds Pm at (0.0000, 0.0000, 0.0000), Pm at (0.2212, 0.5003, 0.3312), Pm at (0.2767, 0.2523, 0.6710), Pm at (0.4996, 0.2522, 0.9995), Pr at (0.2249, 0.9997, 0.3315), Pr at (0.2771, 0.7477, 0.6704) and Ho at (0.0000, 0.5000, 0.0000).

***

(6)
Below is a relaxed structure of In2Pd4Pt5, with properties calculated at the PBE level.

For the formation energy, the calculation gives -0.0887 eV per atom. The value obtained for the density is 14.713 g cm⁻³. The value obtained for the total energy is -5.221 eV per atom. The crystal system is monoclinic.

The space group is P2/m (No. 10) and the conventional cell measures 7.0340, 2.8233 and 9.2992 Å, with angles of 90.00, 94.72 and 90.00 degrees. The asymmetric unit holds In at (0.0753, 0.0000, 0.1520), Pd at (0.1687, 0.5000, 0.4057), Pd at (0.2756, 0.5000, 0.9459), Pt at (0.1922, 0.0000, 0.6657), Pt at (0.4505, 0.0000, 0.2036) and Pt at (0.5000, 0.0000, 0.5000).

***

(7)
Below is a relaxed structure of NiRu2Rh6, with properties calculated at the PBE level.

For the formation energy, the calculation gives 0.0321 eV per atom. The value obtained for the density is 11.709 g cm⁻³. The value obtained for the total energy is -7.573 eV per atom. The crystal system is monoclinic.

The space group is C2/m (No. 12) and the conventional cell measures 8.5462, 3.8014 and 8.0858 Å, with angles of 90.00, 108.51 and 90.00 degrees. The asymmetric unit holds Ni at (0.0000, 0.0000, 0.0000), Ru at (0.1673, 0.5000, 0.2202), Rh at (0.0006, 0.0000, 0.6716), Rh at (0.1662, 0.5000, 0.8935) and Rh at (0.1701, 0.5000, 0.5572).

***

(8)
Below is a relaxed structure of TbZn4Au, with properties calculated at the PBE level.

For the formation energy, the calculation gives -0.2356 eV per atom. The value obtained for the density is 9.701 g cm⁻³. The value obtained for the total energy is -2.403 eV per atom. The crystal system is cubic.

The space group is F-43m (No. 216) and the conventional cell measures 7.5055, 7.5055 and 7.5055 Å, with angles of 90.00, 90.00 and 90.00 degrees. The asymmetric unit holds Tb at (0.0000, 0.0000, 0.0000), Zn at (0.1250, 0.1250, 0.3750) and Au at (0.2500, 0.2500, 0.7500).

***

(9)
Below is a relaxed structure of PmPaSb2, with properties calculated at the PBE level.

The value obtained for the density is 9.403 g cm⁻³. As for the energy relative to the elements, uncorrected: -0.633 eV per atom. The value obtained for the total energy is -6.256 eV per atom. The crystal system is cubic.

The space group is Fm-3m (No. 225) and the conventional cell measures 7.5922, 7.5922 and 7.5922 Å, with angles of 90.00, 90.00 and 90.00 degrees. The asymmetric unit holds Pm at (0.0000, 0.0000, 0.0000), Pa at (0.0000, 0.0000, 0.5000) and Sb at (0.2500, 0.2500, 0.2500).

***

(10)
Below is a relaxed structure of BeCdN2, with properties calculated at the PBE level.

The value obtained for the density is 4.553 g cm⁻³. As for the energy relative to the elements, uncorrected: 0.792 eV per atom. The value obtained for the total energy is -4.531 eV per atom. The crystal system is trigonal.

The space group is R-3m (No. 166, hexagonal axes) and the conventional cell measures 3.3885, 3.3885 and 16.4416 Å, with angles of 90.00, 90.00 and 120.00 degrees. The asymmetric unit holds Be at (0.0000, 0.0000, 0.0000), Cd at (0.0000, 0.0000, 0.5000) and N at (0.0000, 0.0000, 0.0936).

***

(11)
Below is a relaxed structure of Tc5Ni24, with properties calculated at the PBE level.

For the formation energy, the calculation gives 0.0537 eV per atom. The value obtained for the density is 9.486 g cm⁻³. The value obtained for the total energy is -6.518 eV per atom. The crystal system is cubic.

The space group is I-43m (No. 217) and the conventional cell measures 8.7272, 8.7272 and 8.7272 Å, with angles of 90.00, 90.00 and 90.00 degrees. The asymmetric unit holds Tc at (0.0000, 0.0000, 0.0000), Tc at (0.1778, 0.1778, 0.1778), Ni at (0.0466, 0.3625, 0.6375) and Ni at (0.0937, 0.0937, 0.7158).

***

(12)
Below is a relaxed structure of CoWAu2, with properties calculated at the PBE level.

For the formation energy, the calculation gives 0.2650 eV per atom. The value obtained for the density is 16.711 g cm⁻³. The value obtained for the total energy is -6.388 eV per atom. The crystal system is trigonal.

The space group is R3m (No. 160, hexagonal axes) and the conventional cell measures 2.8093, 2.8093 and 27.7699 Å, with angles of 90.00, 90.00 and 120.00 degrees. The asymmetric unit holds Co at (0.0000, 0.0000, 0.0000), W at (0.0000, 0.0000, 0.7366), Au at (0.0000, 0.0000, 0.2522) and Au at (0.0000, 0.0000, 0.4921).

***

(13)
Below is a relaxed structure of Ac4CuIr2, with properties calculated at the PBE level.

For the formation energy, the calculation gives -0.4723 eV per atom. The value obtained for the density is 9.419 g cm⁻³. The value obtained for the total energy is -5.937 eV per atom. The crystal system is monoclinic.

The space group is C2/m (No. 12) and the conventional cell measures 16.0203, 4.4346 and 7.6355 Å, with angles of 90.00, 118.19 and 90.00 degrees. The asymmetric unit holds Ac at (0.1377, 0.0000, 0.4734), Ac at (0.1388, 0.5000, 0.9707), Cu at (0.0000, 0.5000, 0.5000) and Ir at (0.2483, 0.0000, 0.2470).

***

(14)
Below is a relaxed structure of Ac2Al3AgAu12, with properties calculated at the PBE level.

For the formation energy, the calculation gives -0.1904 eV per atom. The value obtained for the density is 11.372 g cm⁻³. The value obtained for the total energy is -3.614 eV per atom. The crystal system is trigonal.

The space group is R-3m (No. 166, hexagonal axes) and the conventional cell measures 8.8327, 8.8327 and 19.4930 Å, with angles of 90.00, 90.00 and 120.00 degrees. The asymmetric unit holds Ac at (0.0000, 0.0000, 0.1114), Al at (0.0000, 0.5000, 0.0000), Ag at (0.0000, 0.0000, 0.5000), Au at (0.0073, 0.5037, 0.8711) and Au at (0.0209, 0.5104, 0.3595).

***

(15)
Below is a relaxed structure of NdYMg5, with properties calculated at the PBE level.

For the formation energy, the calculation gives 0.0897 eV per atom. The value obtained for the density is 3.010 g cm⁻³. The value obtained for the total energy is -2.654 eV per atom. The crystal system is monoclinic.

The space group is C2/m (No. 12) and the conventional cell measures 6.3672, 9.7204 and 6.7126 Å, with angles of 90.00, 109.62 and 90.00 degrees. The asymmetric unit holds Nd at (0.0000, 0.0000, 0.0000), Y at (0.0000, 0.5000, 0.5000), Mg at (0.0000, 0.0000, 0.5000) and Mg at (0.2031, 0.2883, 0.2279).

***

(16)
Below is a relaxed structure of TbYIr2, with properties calculated at the PBE level.

For the formation energy, the calculation gives -0.7790 eV per atom. The value obtained for the density is 12.899 g cm⁻³. The value obtained for the total energy is -7.983 eV per atom. The crystal system is cubic.

The space group is Fm-3m (No. 225) and the conventional cell measures 6.8793, 6.8793 and 6.8793 Å, with angles of 90.00, 90.00 and 90.00 degrees. The asymmetric unit holds Tb at (0.0000, 0.0000, 0.0000), Y at (0.0000, 0.0000, 0.5000) and Ir at (0.2500, 0.2500, 0.2500).

***

(17)
Below is a relaxed structure of YPb2Se, with properties calculated at the PBE level.

The value obtained for the density is 8.766 g cm⁻³. As for the energy relative to the elements, uncorrected: -0.503 eV per atom. The value obtained for the total energy is -4.844 eV per atom. The crystal system is orthorhombic.

The space group is Pmmm (No. 47) and the conventional cell measures 3.8602, 4.8928 and 5.8396 Å, with angles of 90.00, 90.00 and 90.00 degrees. The asymmetric unit holds Y at (0.0000, 0.0000, 0.0000), Pb at (0.0000, 0.5000, 0.5000), Pb at (0.5000, 0.0000, 0.5000) and Se at (0.5000, 0.5000, 0.0000).

***

(18)
Below is a relaxed structure of TlInGeS3, with properties calculated at the PBE level.

The value obtained for the density is 5.239 g cm⁻³. As for the energy relative to the elements, uncorrected: -0.410 eV per atom. The value obtained for the total energy is -4.095 eV per atom. The crystal system is monoclinic.

The space group is P2_1/m (No. 11) and the conventional cell measures 8.9381, 3.7671 and 9.2206 Å, with angles of 90.00, 94.86 and 90.00 degrees. The asymmetric unit holds Tl at (0.1674, 0.2500, 0.2123), In at (0.3709, 0.7500, 0.8638), Ge at (0.1263, 0.2500, 0.6049), S at (0.1615, 0.2500, 0.8718), S at (0.2987, 0.7500, 0.5788) and S at (0.4222, 0.7500, 0.1481).

***

(19)
Below is a relaxed structure of Ac8NiIr3Br4, with properties calculated at the PBE level.

The value obtained for the density is 8.477 g cm⁻³. As for the energy relative to the elements, uncorrected: -1.114 eV per atom. The value obtained for the total energy is -5.609 eV per atom. The crystal system is trigonal.

The space group is R-3m (No. 166, hexagonal axes) and the conventional cell measures 8.7145, 8.7145 and 24.7589 Å, with angles of 90.00, 90.00 and 120.00 degrees. The asymmetric unit holds Ac at (0.0000, 0.0000, 0.2315), Ac at (0.0006, 0.5003, 0.7690), Ni at (0.0000, 0.0000, 0.5000), Ir at (0.0000, 0.5000, 0.5000), Br at (0.0000, 0.0000, 0.0000) and Br at (0.0000, 0.5000, 0.0000).

***

(20)
Below is a relaxed structure of MgGa3Ag12, with properties calculated at the PBE level.

For the formation energy, the calculation gives -0.0308 eV per atom. The value obtained for the density is 9.000 g cm⁻³. The value obtained for the total energy is -2.836 eV per atom. The crystal system is tetragonal.

The space group is P4/mmm (No. 123) and the conventional cell measures 4.1030, 4.1030 and 16.7449 Å, with angles of 90.00, 90.00 and 90.00 degrees. The asymmetric unit holds Mg at (0.0000, 0.0000, 0.0000), Ga at (0.0000, 0.0000, 0.2506), Ga at (0.0000, 0.0000, 0.5000), Ag at (0.0000, 0.5000, 0.1263), Ag at (0.0000, 0.5000, 0.3751), Ag at (0.5000, 0.5000, 0.0000), Ag at (0.5000, 0.5000, 0.2513) and Ag at (0.5000, 0.5000, 0.5000).

***

(21)
Below is a relaxed structure of CeMgSn6, with properties calculated at the PBE level.

For the formation energy, the calculation gives -0.2712 eV per atom. The value obtained for the density is 6.979 g cm⁻³. The value obtained for the total energy is -4.214 eV per atom. The crystal system is orthorhombic.

The space group is Cmmm (No. 65) and the conventional cell measures 9.5685, 9.5806 and 4.5511 Å, with angles of 90.00, 90.00 and 90.00 degrees. The asymmetric unit holds Ce at (0.0000, 0.0000, 0.0000), Mg at (0.0000, 0.5000, 0.0000), Sn at (0.0000, 0.2632, 0.5000), Sn at (0.2368, 0.5000, 0.5000) and Sn at (0.2500, 0.2500, 0.0000).

***

(22)
Below is a relaxed structure of Pr4HoSe5, with properties calculated at the PBE level.

The value obtained for the density is 6.982 g cm⁻³. As for the energy relative to the elements, uncorrected: -1.810 eV per atom. The value obtained for the total energy is -5.922 eV per atom. The crystal system is tetragonal.

The space group is I4/mmm (No. 139) and the conventional cell measures 4.2186, 4.2186 and 30.0274 Å, with angles of 90.00, 90.00 and 90.00 degrees. The asymmetric unit holds Pr at (0.0000, 0.0000, 0.1019), Pr at (0.0000, 0.0000, 0.3053), Ho at (0.0000, 0.0000, 0.5000), Se at (0.0000, 0.0000, 0.0000), Se at (0.0000, 0.0000, 0.2030) and Se at (0.0000, 0.0000, 0.4053).

***

(23)
Below is a relaxed structure of Y2C, with properties calculated at the PBE level.

For the formation energy, the calculation gives 0.3146 eV per atom. The value obtained for the density is 5.556 g cm⁻³. The value obtained for the total energy is -7.069 eV per atom. The crystal system is hexagonal.

The space group is P-62m (No. 189) and the conventional cell measures 7.0415, 7.0415 and 3.9638 Å, with angles of 90.00, 90.00 and 120.00 degrees. The asymmetric unit holds Y at (0.0000, 0.2760, 0.0000), Y at (0.0000, 0.6005, 0.5000), C at (0.0000, 0.0000, 0.5000) and C at (0.3333, 0.6667, 0.0000).